i:
Compound: HfBeCd
Source: the Alexandria database
Functional: PBE-GGA
Structure: optimized geometry

Cell lengths 5.011, 3.653, 11.483 Å; angles 90.00, 101.94, 90.00 degrees
Fractional positions:
Be1 0.631 0.000 0.768
Hf1 0.834 0.500 0.648
Be2 0.369 0.000 0.232
Hf2 0.834 0.000 0.148
Be3 0.631 0.500 0.268
Hf3 0.166 0.000 0.852
Cd1 0.715 0.500 0.923
Cd2 0.285 0.500 0.077
Cd3 0.715 0.000 0.423
Cd4 0.285 0.000 0.577
Hf4 0.166 0.500 0.352
Be4 0.369 0.500 0.732

As for the crystal system: monoclinic. As for the symmetry: C2/m (12).



ii:
Compound: HfBeCd
Source: the Alexandria database
Functional: PBE-GGA
Structure: optimized geometry

Cell lengths 10.785, 3.417, 3.416 Å; angles 120.00, 90.00, 89.97 degrees
Fractional positions:
Hf1 0.290 0.445 0.877
Be1 0.454 0.778 0.543
Hf2 0.622 0.444 0.877
Cd1 0.066 0.112 0.211
Cd2 0.847 0.777 0.543
Be2 0.458 0.111 0.210

As for the crystal system: trigonal. As for the symmetry: P-3m1 (164).



iii:
Compound: HfBeCd
Source: the Alexandria database
Functional: PBE-GGA
Structure: optimized geometry

Cell lengths 7.252, 3.367, 10.263 Å; angles 90.00, 126.00, 90.00 degrees
Fractional positions:
Be1 0.647 0.000 0.122
Hf1 0.651 0.500 0.908
Hf2 0.651 0.000 0.408
Cd1 0.925 0.000 0.827
Cd2 0.075 0.000 0.173
Be2 0.353 0.500 0.378
Hf3 0.349 0.500 0.092
Be3 0.353 0.000 0.878
Cd3 0.925 0.500 0.327
Be4 0.647 0.500 0.622
Hf4 0.349 0.000 0.592
Cd4 0.075 0.500 0.673

As for the crystal system: monoclinic. As for the symmetry: C2/m (12).



iv:
Compound: HfBeCd
Source: the Alexandria database
Functional: PBE-GGA
Structure: optimized geometry

Cell lengths 3.472, 3.778, 8.080 Å; angles 76.48, 90.00, 90.00 degrees
Fractional positions:
Cd1 0.750 0.299 0.402
Be1 0.250 0.538 0.925
Cd2 0.250 0.701 0.598
Be2 0.750 0.462 0.075
Hf1 0.750 0.081 0.838
Hf2 0.250 0.919 0.162

As for the crystal system: orthorhombic. As for the symmetry: Cmcm (63).



Which of them is least stable? Easy: i.



i:
Compound: HfBeCd
Source: the Alexandria database
Functional: PBE-GGA
Structure: optimized geometry

Cell lengths 3.022, 3.022, 11.306 Å; angles 90.00, 90.00, 90.00 degrees
Fractional positions:
Hf1 0.000 0.000 0.463
Be1 0.500 0.500 0.320
Cd1 0.000 0.000 0.877
Cd2 0.500 0.500 0.671
Hf2 0.000 0.000 0.164
Be2 0.500 0.500 0.018

As for the crystal system: tetragonal. As for the symmetry: P4mm (99).



ii:
Compound: HfBeCd
Source: the Alexandria database
Functional: PBE-GGA
Structure: optimized geometry

Cell lengths 3.845, 3.845, 7.038 Å; angles 90.00, 90.00, 90.00 degrees
Fractional positions:
Hf1 0.500 0.000 0.373
Be1 0.000 0.500 0.261
Cd1 0.500 0.500 0.000
Cd2 0.000 0.000 0.000
Be2 0.500 0.000 0.739
Hf2 0.000 0.500 0.627

As for the crystal system: tetragonal. As for the symmetry: P4/nmm (129).



Which of them is least stable? Easy: ii.



i:
Compound: Hf2BeCd
Source: the Alexandria database
Functional: PBE-GGA
Structure: optimized geometry

Cell lengths 4.026, 4.026, 10.624 Å; angles 79.08, 79.08, 90.00 degrees
Fractional positions:
Be1 0.500 0.500 0.000
Be2 0.250 0.750 0.500
Cd1 0.750 0.250 0.500
Hf1 0.375 0.383 0.750
Hf2 0.133 0.625 0.250
Cd2 0.000 0.000 0.000
Hf3 0.875 0.867 0.750
Hf4 0.617 0.125 0.250

As for the crystal system: tetragonal. As for the symmetry: I-42d (122).



ii:
Compound: Hf2BeCd
Source: the Alexandria database
Functional: PBE-GGA
Structure: optimized geometry

Cell lengths 3.125, 3.125, 9.906 Å; angles 80.93, 80.93, 60.00 degrees
Fractional positions:
Hf1 0.896 0.896 0.312
Be1 0.500 0.500 0.500
Hf2 0.104 0.104 0.688
Cd1 0.000 0.000 0.000

As for the crystal system: trigonal. As for the symmetry: R-3m (166).



iii:
Compound: Hf2BeCd
Source: the Alexandria database
Functional: PBE-GGA
Structure: optimized geometry

Cell lengths 3.033, 3.033, 7.914 Å; angles 90.00, 90.00, 90.00 degrees
Fractional positions:
Hf1 0.000 0.000 0.790
Cd1 0.500 0.500 0.500
Hf2 0.000 0.000 0.210
Be1 0.500 0.500 0.000

As for the crystal system: tetragonal. As for the symmetry: P4/mmm (123).



iv:
Compound: Hf2BeCd
Source: the Alexandria database
Functional: PBE-GGA
Structure: optimized geometry

Cell lengths 4.718, 4.718, 4.718 Å; angles 60.00, 60.00, 60.00 degrees
Fractional positions:
Be1 0.000 0.000 0.000
Cd1 0.500 0.500 0.500
Hf1 0.750 0.750 0.750
Hf2 0.250 0.250 0.250

As for the crystal system: cubic. As for the symmetry: Fm-3m (225).



Which of them is least stable? Easy: i.



i:
Compound: HfBeCd2
Source: the Alexandria database
Functional: PBE-GGA
Structure: optimized geometry

Cell lengths 7.541, 7.541, 5.987 Å; angles 50.96, 50.96, 90.00 degrees
Fractional positions:
Cd1 0.563 0.125 0.250
Cd2 0.875 0.813 0.750
Cd3 0.187 0.625 0.250
Cd4 0.375 0.437 0.750
Hf1 0.750 0.250 0.500
Be1 0.500 0.500 0.000
Hf2 0.000 0.000 0.000
Be2 0.250 0.750 0.500

As for the crystal system: tetragonal. As for the symmetry: I-42d (122).



ii:
Compound: HfBeCd2
Source: the Alexandria database
Functional: PBE-GGA
Structure: optimized geometry

Cell lengths 4.714, 4.714, 4.714 Å; angles 60.00, 60.00, 60.00 degrees
Fractional positions:
Cd1 0.250 0.250 0.250
Be1 0.000 0.000 0.000
Cd2 0.750 0.750 0.750
Hf1 0.500 0.500 0.500

As for the crystal system: cubic. As for the symmetry: Fm-3m (225).



Which of them is least stable? Easy: i.



i:
Compound: Ho2BeCd
Source: the Alexandria database
Functional: PBE-GGA
Structure: optimized geometry

Cell lengths 5.070, 5.070, 5.070 Å; angles 60.00, 60.00, 60.00 degrees
Fractional positions:
Be1 0.500 0.500 0.500
Cd1 0.000 0.000 0.000
Ho1 0.750 0.750 0.750
Ho2 0.250 0.250 0.250

As for the crystal system: cubic. As for the symmetry: Fm-3m (225).



ii:
Compound: Ho2BeCd
Source: the Alexandria database
Functional: PBE-GGA
Structure: optimized geometry

Cell lengths 3.450, 3.450, 7.545 Å; angles 90.00, 90.00, 90.00 degrees
Fractional positions:
Ho1 0.000 0.000 0.216
Cd1 0.500 0.500 0.500
Ho2 0.000 0.000 0.784
Be1 0.500 0.500 0.000

As for the crystal system: tetragonal. As for the symmetry: P4/mmm (123).



Which of them is least stable? Easy: i.



i:
Compound: Be2Cd2I
Source: the Alexandria database
Functional: PBE-GGA
Structure: optimized geometry

Cell lengths 3.563, 3.563, 8.624 Å; angles 78.08, 78.08, 90.00 degrees
Fractional positions:
Cd1 0.635 0.635 0.729
Be1 0.750 0.250 0.500
I1 0.000 0.000 0.000
Be2 0.250 0.750 0.500
Cd2 0.365 0.365 0.271

As for the crystal system: tetragonal. As for the symmetry: I4/mmm (139).



ii:
Compound: Be2Cd2I
Source: the Alexandria database
Functional: PBE-GGA
Structure: optimized geometry

Cell lengths 8.383, 8.383, 2.949 Å; angles 90.00, 90.00, 90.00 degrees
Fractional positions:
Cd1 0.187 0.313 0.000
Cd2 0.687 0.187 0.000
I1 0.000 0.000 0.000
I2 0.500 0.500 0.000
Be1 0.094 0.594 0.500
Be2 0.406 0.094 0.500
Cd3 0.313 0.813 0.000
Be3 0.594 0.906 0.500
Be4 0.906 0.406 0.500
Cd4 0.813 0.687 0.000

As for the crystal system: tetragonal. As for the symmetry: P4/mbm (127).



Which of them is least stable? Easy: ii.